(1)
Entry from Alexandria: an optimized crystal structure of CeThRuPt (PBE-GGA).

abc: 5.0199 5.0199 5.0199
angles: 60.00 60.00 60.00
Site moments in Bohr magnetons follow the coordinates.
Positions (direct):
Ru 0.2500 0.2500 0.2500  -0.07
Ce 0.0000 0.0000 0.0000  0.56
Pt 0.7500 0.7500 0.7500  0.00
Th 0.5000 0.5000 0.5000  0.08

Values from the calculation:
uncorrected energy	-31.24	eV/f.u.
calculated density	12.407	g cm⁻³
formation enthalpy at 0 K	-0.64	eV/atom
offset from the most stable computed form	199	meV/atom
DOS(E_F)	6.90	states/eV/f.u.
volume	89.4	Å³/f.u.



(2)
Entry from Alexandria: an optimized crystal structure of ZrCrCu (PBE-GGA).

abc: 4.2998 4.2998 3.1646
angles: 90.00 90.00 120.00
Site moments in Bohr magnetons follow the coordinates.
Positions (direct):
Cr 0.0000 0.0000 0.1670  2.82
Cu 0.6667 0.3333 0.1662  0.11
Zr 0.3333 0.6667 0.6669  -0.14

Values from the calculation:
uncorrected energy	-21.49	eV/f.u.
calculated density	6.776	g cm⁻³
formation enthalpy at 0 K	0.26	eV/atom
offset from the most stable computed form	218	meV/atom
DOS(E_F)	3.52	states/eV/f.u.
volume	50.7	Å³/f.u.



(3)
Entry from Alexandria: an optimized crystal structure of K12Tl6Au (PBE-GGA).

abc: 10.0795 10.0795 10.0795
angles: 76.09 76.09 76.09
Positions (direct):
K 0.4750 0.1540 0.5909
K 0.1540 0.5909 0.4750
K 0.5909 0.4750 0.1540
K 0.5250 0.8460 0.4091
K 0.8460 0.4091 0.5250
K 0.4091 0.5250 0.8460
K 0.1070 0.8879 0.7095
K 0.2905 0.8930 0.1121
K 0.1121 0.2905 0.8930
K 0.8930 0.1121 0.2905
K 0.7095 0.1070 0.8879
K 0.8879 0.7095 0.1070
Tl 0.1951 0.1487 0.4211
Tl 0.8513 0.5789 0.8049
Tl 0.5789 0.8049 0.8513
Tl 0.8049 0.8513 0.5789
Tl 0.1487 0.4211 0.1951
Tl 0.4211 0.1951 0.1487
Au 0.0000 0.0000 0.0000

Values from the calculation:
uncorrected energy	-31.55	eV/f.u.
calculated density	3.320	g cm⁻³
formation enthalpy at 0 K	-0.05	eV/atom
DOS(E_F)	10.73	states/eV/f.u.
volume	946.6	Å³/f.u.